[1]
This record from the Alexandria database describes a relaxed CrCoHRh2 crystal. The functional is PBE.

The calculation puts the energy at -6.8749 eV per atom. As for the total magnetic moment: 1.43 Bohr magnetons per cell.

It has space group P4/mmm (No. 123), with a = 3.7646 Å, b = 3.7646 Å, c = 3.7114 Å, α = 90.00°, β = 90.00° and γ = 90.00°. Symmetry generates all atoms from Cr at (0.0000, 0.0000, 0.0000), Co at (0.5000, 0.5000, 0.0000), H at (0.0000, 0.0000, 0.5000) and Rh at (0.0000, 0.5000, 0.5000).

[2]
This record from the Alexandria database describes a relaxed Zr6TlN crystal. The functional is PBE.

For the energy relative to the elements, uncorrected, the calculation gives -44 kJ per mole of atoms. The calculation puts the energy at -8.2026 eV per atom. As for the total magnetic moment: 0.00 Bohr magnetons per cell.

It has space group R-3 (No. 148, hexagonal axes), with a = 8.6342 Å, b = 8.6342 Å, c = 7.7519 Å, α = 90.00°, β = 90.00° and γ = 120.00°. Symmetry generates all atoms from Zr at (0.0728, 0.2473, 0.1586), Tl at (0.0000, 0.0000, 0.5000) and N at (0.0000, 0.0000, 0.0000).

[3]
This record from the Alexandria database describes a relaxed MnHN crystal. The functional is PBE.

The calculation puts the energy at -6.5790 eV per atom. As for the total magnetic moment: 0.82 Bohr magnetons per cell.

It has space group P4mm (No. 99), with a = 2.6807 Å, b = 2.6807 Å, c = 3.5236 Å, α = 90.00°, β = 90.00° and γ = 90.00°. Symmetry generates all atoms from Mn at (0.0000, 0.0000, 0.0000), H at (0.5000, 0.5000, 0.9615) and N at (0.0000, 0.0000, 0.4638).

[4]
This record from the Alexandria database describes a relaxed ZrIn crystal. The functional is PBE.

The value obtained for the energy relative to the elements is -0.248 eV/f.u. The calculation puts the energy at -5.7675 eV per atom. As for the total magnetic moment: 0.00 Bohr magnetons per cell.

It has space group Pmmn (No. 59, origin choice 2), with a = 3.4395 Å, b = 4.2728 Å, c = 6.3254 Å, α = 90.00°, β = 90.00° and γ = 90.00°. Symmetry generates all atoms from Zr at (0.2500, 0.2500, 0.1195) and In at (0.2500, 0.2500, 0.6291).

Repeat the fourth record exactly.
This record from the Alexandria database describes a relaxed ZrIn crystal. The functional is PBE.

The value obtained for the energy relative to the elements is -0.248 eV/f.u. The calculation puts the energy at -5.7675 eV per atom. As for the total magnetic moment: 0.00 Bohr magnetons per cell.

It has space group Pmmn (No. 59, origin choice 2), with a = 3.4395 Å, b = 4.2728 Å, c = 6.3254 Å, α = 90.00°, β = 90.00° and γ = 90.00°. Symmetry generates all atoms from Zr at (0.2500, 0.2500, 0.1195) and In at (0.2500, 0.2500, 0.6291).